No. 1
Pm2Nd7Dy2 | PBE | relaxed

Results
Offset from the most stable computed form, eV/atom: 0.000
ΔE_f, eV/atom: 0.091
Magnetic moment, μB/f.u.: 0.00

The structure in CIF format:
```
data_Pm2Nd7Dy2
_chemical_formula_sum 'Pm4 Nd14 Dy4'
_space_group_name_H-M_alt 'P -1'
_space_group_IT_number 2
_cell_length_a 8.605
_cell_length_b 8.957
_cell_length_c 11.898
_cell_angle_alpha 105.59
_cell_angle_beta 90.31
_cell_angle_gamma 118.40
loop_
_space_group_symop_operation_xyz
'x,y,z'
'-x,-y,-z'
loop_
_atom_site_label
_atom_site_fract_x
_atom_site_fract_y
_atom_site_fract_z
Pm1 0.054 0.335 0.431
Pm2 0.411 0.145 0.061
Nd1 0.031 0.214 0.098
Nd2 0.106 0.947 0.245
Nd3 0.222 0.649 0.067
Nd4 0.225 0.137 0.565
Nd5 0.325 0.772 0.412
Nd6 0.365 0.357 0.868
Nd7 0.490 0.376 0.366
Dy1 0.119 0.500 0.747
Dy2 0.373 0.946 0.744
```

---

No. 2
PmNd12Dy7 | PBE | relaxed

Results
Offset from the most stable computed form, eV/atom: 0.094
ΔE_f, eV/atom: 0.244
Magnetic moment, μB/f.u.: 0.00

The structure in CIF format:
```
data_PmNd12Dy7
_chemical_formula_sum 'Pm3 Nd36 Dy21'
_space_group_name_H-M_alt 'R -3 m'
_space_group_IT_number 166
_space_group_name_Hall '-R 3 2"'
_cell_length_a 19.6943
_cell_length_b 19.6943
_cell_length_c 6.2394
_cell_angle_alpha 90.00
_cell_angle_beta 90.00
_cell_angle_gamma 120.00
loop_
_atom_site_label
_atom_site_fract_x
_atom_site_fract_y
_atom_site_fract_z
Pm1 0.0000 0.0000 0.0000
Nd1 0.0000 0.4123 0.5000
Nd2 0.0972 0.5486 0.9664
Dy1 0.0000 0.0000 0.5000
Dy2 0.0819 0.1639 0.7918
```